1.
A plane-wave DFT calculation with PBE was carried out for an optimized crystal structure of Mg6GaAg5.

Computed properties:
calculated formation energy: -0.227 eV/atom
V: 18.6 A^3/atom
Fermi-level density of states: 2.9 states/eV per cell

a b c (Å): 4.7359 6.6033 7.4932
angles (deg): 90.00 108.15 90.00
Closest atoms and distances in Å follow each position.
Space group P2/m (No. 10)
Inequivalent atoms, fractional coordinates:
Mg1 0.0000 0.2492 0.0000 [2 per cell]  6 Ag 2.87-2.91, 2 Ga 2.88
Mg2 0.3330 0.2508 0.6647 [4 per cell]  7 Ag 2.86-2.90, 1 Ga 2.91
Ga1 0.5000 0.0000 0.0000 [1 per cell]  8 Mg 2.88-2.91
Ag1 0.1652 0.5000 0.3290 [2 per cell]  8 Mg 2.87-2.90
Ag2 0.1684 0.0000 0.3365 [2 per cell]  8 Mg 2.86-2.91
Ag3 0.5000 0.5000 0.0000 [1 per cell]  8 Mg 2.89-2.90

***

2.
A plane-wave DFT calculation with PBE was carried out for an optimized crystal structure of Dy5ThHg4.

Computed properties:
calculated formation energy: -0.388 eV/atom
V: 26.8 A^3/atom
Fermi-level density of states: 9.3 states/eV per cell

a b c (Å): 3.6813 3.6813 19.7913
angles (deg): 90.00 90.00 90.00
Closest atoms and distances in Å follow each position.
Space group P4/mmm (No. 123)
Inequivalent atoms, fractional coordinates:
Dy1 0.0000 0.0000 0.0000 [1 per cell]  8 Hg 3.22
Dy2 0.0000 0.0000 0.1896 [2 per cell]  8 Hg 3.20-3.23
Dy3 0.0000 0.0000 0.3816 [2 per cell]  4 Hg 3.22, 4 Th 3.50
Th1 0.5000 0.5000 0.5000 [1 per cell]  8 Dy 3.50, 4 Th 3.68
Hg1 0.5000 0.5000 0.0954 [2 per cell]  8 Dy 3.20-3.22
Hg2 0.5000 0.5000 0.2862 [2 per cell]  8 Dy 3.22-3.23

***

3.
A plane-wave DFT calculation with PBE was carried out for an optimized crystal structure of HgSb2I.

Computed properties:
E above lowest polymorph: 0 meV per atom
formation energy without anion corrections: -54.9 meV per atom
V: 34.0 A^3/atom
Fermi-level density of states: 1.4 states/eV per cell

a b c (Å): 4.3334 4.4173 8.2603
angles (deg): 98.47 90.00 119.34
Closest atoms and distances in Å follow each position.
Space group P1 (No. 1)
Inequivalent atoms, fractional coordinates:
Hg1 0.0000 0.0000 0.0000 [1 per cell]  1 Sb 2.99, 1 I 3.01
Sb1 0.2409 0.4824 0.7517 [1 per cell]  3 Sb 2.94-3.05, 1 Hg 2.99
Sb2 0.5460 0.0924 0.5595 [1 per cell]  3 Sb 2.94-3.05, 1 I 3.24
I1 0.7668 0.5368 0.2597 [1 per cell]  1 Hg 3.01, 1 Sb 3.24